# 1
Computed, not measured: an optimized crystal structure of NaRe2B at the PBE level of DFT.

Cell and atoms, written as POSCAR:
```
NaRe2B
1.0
-2.301 2.301 7.406
2.301 -2.301 7.406
2.301 2.301 -7.406
Na Re B
2 4 2
Direct
0.000 0.000 0.000 Na
0.750 0.250 0.500 Na
0.304 0.125 0.679 Re
0.375 0.696 0.821 Re
0.446 0.625 0.321 Re
0.875 0.554 0.179 Re
0.250 0.750 0.500 B
0.500 0.500 0.000 B
```

Computed properties:
* VASP energy: -54.432 eV per cell
* ΔH_f (0 K): 1.4192 eV/atom

---

# 2
Computed, not measured: an optimized crystal structure of ThCoRe at the PBE level of DFT.

Cell and atoms, written as POSCAR:
```
ThCoRe
1.0
1.744 -9.367 0.000
1.744 9.367 0.000
0.000 0.000 3.693
Th Co Re
2 2 2
Direct
0.103 0.897 0.750 Th
0.897 0.103 0.250 Th
0.464 0.536 0.750 Co
0.536 0.464 0.250 Co
0.246 0.754 0.250 Re
0.754 0.246 0.750 Re
```

Computed properties:
* VASP energy: -52.545 eV per cell
* ΔH_f (0 K): 0.2337 eV/atom

---

# 3
Computed, not measured: an optimized crystal structure of CsBS2 at the PBE level of DFT.

Cell and atoms, written as POSCAR:
```
CsBS2
1.0
3.602 -6.204 0.000
3.602 6.204 0.000
-1.875 0.000 4.912
Cs B S
2 2 4
Direct
0.146 0.854 0.750 Cs
0.854 0.146 0.250 Cs
0.499 0.501 0.250 B
0.501 0.499 0.750 B
0.269 0.436 0.926 S
0.436 0.269 0.426 S
0.564 0.731 0.574 S
0.731 0.564 0.074 S
```

Computed properties:
* E_form (uncorrected): -3.49 eV per formula unit
* VASP energy: -38.543 eV per cell